DFT (PBE) results for CoP2Rh after structural relaxation.

* ΔH_f (0 K): -0.103 eV/atom
* calculated total energy: -25.688 eV per cell

```
CoP2Rh
1.0
2.9700 0.0000 0.0000
0.0000 2.9700 0.0000
0.0000 0.0000 5.5867
Co P Rh
1 2 1
Cartesian
0.0000 0.0000 0.0000
1.4850 1.4850 1.2725
1.4850 1.4850 4.3142
0.0000 0.0000 2.7933
```